# 1
Below is a relaxed Mn2NbPOs crystal, with properties calculated at the GGA-PBEsol level.

```
data_Mn2NbPOs
_cell_length_a 4.4289
_cell_length_b 4.4289
_cell_length_c 4.5670
_cell_angle_alpha 90.00
_cell_angle_beta 90.00
_cell_angle_gamma 90.00
_space_group_name_H-M_alt 'P 1'
_space_group_IT_number 1
loop_
_space_group_symop_operation_xyz
'x,y,z'
loop_
_atom_site_label
_atom_site_type_symbol
_atom_site_fract_x
_atom_site_fract_y
_atom_site_fract_z
P1 P 0.0000 0.0000 0.5000
Nb1 Nb 0.0000 0.0000 0.0000
Mn1 Mn 0.0000 0.5000 0.0000
Mn2 Mn 0.5000 0.0000 0.0000
Os1 Os 0.5000 0.5000 0.5000
```

Calculated values
space group: No. 123
E_form: 1.848 eV per atom
total magnetization: 4.583 μB per formula unit

=====

# 2
Below is a relaxed TlP2Se crystal, with properties calculated at the GGA-PBEsol level.

```
data_TlP2Se
_cell_length_a 3.1678
_cell_length_b 5.4084
_cell_length_c 5.6116
_cell_angle_alpha 111.05
_cell_angle_beta 90.00
_cell_angle_gamma 90.00
_space_group_name_H-M_alt 'P 1'
_space_group_IT_number 1
loop_
_space_group_symop_operation_xyz
'x,y,z'
loop_
_atom_site_label
_atom_site_type_symbol
_atom_site_fract_x
_atom_site_fract_y
_atom_site_fract_z
P1 P 0.0000 0.0778 0.1100
P2 P 0.5000 0.3706 0.1697
Se1 Se 0.0000 0.9943 0.4922
Tl1 Tl 0.5000 0.5573 0.7281
```

Calculated values
space group: No. 6
excess energy over the best structure of this formula in the dataset: 1.6 kJ/mol of atoms
energy relative to the elements, uncorrected: 22 kJ/mol of formula units
total magnetization: 0.000 μB per formula unit

=====

# 3
Below is a relaxed RbYNF2 crystal, with properties calculated at the GGA-PBEsol level.

```
data_RbYNF2
_cell_length_a 4.5143
_cell_length_b 4.5143
_cell_length_c 4.6469
_cell_angle_alpha 90.00
_cell_angle_beta 90.00
_cell_angle_gamma 90.00
_space_group_name_H-M_alt 'P 1'
_space_group_IT_number 1
loop_
_space_group_symop_operation_xyz
'x,y,z'
loop_
_atom_site_label
_atom_site_type_symbol
_atom_site_fract_x
_atom_site_fract_y
_atom_site_fract_z
Y1 Y 0.5000 0.5000 0.5000
N1 N 0.0000 0.0000 0.5000
Rb1 Rb 0.0000 0.0000 0.0000
F1 F 0.0000 0.5000 0.0000
F2 F 0.5000 0.0000 0.0000
```

Calculated values
space group: No. 123
energy relative to the elements, uncorrected: -288 kJ/mol of formula units
total magnetization: 0.125 μB per formula unit

=====

# 4
Below is a relaxed Au3Br crystal, with properties calculated at the GGA-PBEsol level.

```
data_Au3Br
_cell_length_a 3.5580
_cell_length_b 3.9637
_cell_length_c 5.8558
_cell_angle_alpha 90.00
_cell_angle_beta 90.00
_cell_angle_gamma 90.00
_space_group_name_H-M_alt 'P 1'
_space_group_IT_number 1
loop_
_space_group_symop_operation_xyz
'x,y,z'
loop_
_atom_site_label
_atom_site_type_symbol
_atom_site_fract_x
_atom_site_fract_y
_atom_site_fract_z
Au1 Au 0.0000 0.0000 0.9341
Au2 Au 0.5000 0.0000 0.5483
Au3 Au 0.5000 0.5000 0.8616
Br1 Br 0.0000 0.5000 0.3227
```

Calculated values
space group: No. 25
energy relative to the elements, uncorrected: 100 kJ/mol of formula units
total magnetization: 0.000 μB per formula unit

=====

# 5
Below is a relaxed La3Ir crystal, with properties calculated at the GGA-PBEsol level.

```
data_La3Ir
_cell_length_a 3.7858
_cell_length_b 5.6812
_cell_length_c 6.3695
_cell_angle_alpha 116.49
_cell_angle_beta 107.29
_cell_angle_gamma 90.00
_space_group_name_H-M_alt 'P 1'
_space_group_IT_number 1
loop_
_space_group_symop_operation_xyz
'x,y,z'
loop_
_atom_site_label
_atom_site_type_symbol
_atom_site_fract_x
_atom_site_fract_y
_atom_site_fract_z
Ir1 Ir 0.0000 0.0341 0.0000
La1 La 0.3051 0.9043 0.6101
La2 La 0.5000 0.6007 0.0000
La3 La 0.6949 0.2942 0.3899
```

Calculated values
space group: No. 44
E_form: -0.324 eV per atom
total magnetization: 0.001 μB per formula unit

=====

# 6
Below is a relaxed BaNaSr3 crystal, with properties calculated at the GGA-PBEsol level.

```
data_BaNaSr3
_cell_length_a 6.8007
_cell_length_b 6.8007
_cell_length_c 6.8007
_cell_angle_alpha 90.00
_cell_angle_beta 90.00
_cell_angle_gamma 90.00
_space_group_name_H-M_alt 'P 1'
_space_group_IT_number 1
loop_
_space_group_symop_operation_xyz
'x,y,z'
loop_
_atom_site_label
_atom_site_type_symbol
_atom_site_fract_x
_atom_site_fract_y
_atom_site_fract_z
Sr1 Sr 0.0000 0.5000 0.0000
Sr2 Sr 0.0000 0.0000 0.5000
Sr3 Sr 0.5000 0.0000 0.0000
Ba1 Ba 0.0000 0.0000 0.0000
Na1 Na 0.5000 0.5000 0.5000
```

Calculated values
space group: No. 221
E_form: 0.659 eV per atom
total magnetization: 3.268 μB per formula unit

=====

# 7
Below is a relaxed LiNbTe3O12 crystal, with properties calculated at the GGA-PBEsol level.

```
data_LiNbTe3O12
_cell_length_a 4.9269
_cell_length_b 5.2477
_cell_length_c 8.4414
_cell_angle_alpha 90.00
_cell_angle_beta 90.00
_cell_angle_gamma 92.15
_space_group_name_H-M_alt 'P 1'
_space_group_IT_number 1
loop_
_space_group_symop_operation_xyz
'x,y,z'
loop_
_atom_site_label
_atom_site_type_symbol
_atom_site_fract_x
_atom_site_fract_y
_atom_site_fract_z
Li1 Li 0.5000 0.5000 0.1947
Nb1 Nb 0.0000 0.0000 0.1007
Te1 Te 0.5000 0.0000 0.4242
Te2 Te 0.5000 0.5000 0.6045
Te3 Te 0.0000 0.5000 0.9134
O1 O 0.7328 0.8811 0.2612
O2 O 0.7117 0.8213 0.5859
O3 O 0.7982 0.7997 0.9333
O4 O 0.2974 0.6719 0.4310
O5 O 0.2172 0.6796 0.0755
O6 O 0.2491 0.6397 0.7516
O7 O 0.7509 0.3603 0.7516
O8 O 0.7828 0.3204 0.0755
O9 O 0.7026 0.3281 0.4310
O10 O 0.2018 0.2003 0.9333
O11 O 0.2883 0.1787 0.5859
O12 O 0.2672 0.1189 0.2612
```

Calculated values
space group: No. 3
excess energy over the best structure of this formula in the dataset: 0.9 kJ/mol of atoms
energy relative to the elements, uncorrected: -2195 kJ/mol of formula units
total magnetization: 0.000 μB per formula unit

=====

# 8
Below is a relaxed KTl2In crystal, with properties calculated at the GGA-PBEsol level.

```
data_KTl2In
_cell_length_a 5.4514
_cell_length_b 5.4514
_cell_length_c 5.4514
_cell_angle_alpha 60.00
_cell_angle_beta 60.00
_cell_angle_gamma 60.00
_space_group_name_H-M_alt 'P 1'
_space_group_IT_number 1
loop_
_space_group_symop_operation_xyz
'x,y,z'
loop_
_atom_site_label
_atom_site_type_symbol
_atom_site_fract_x
_atom_site_fract_y
_atom_site_fract_z
Tl1 Tl 0.0000 0.0000 0.0000
Tl2 Tl 0.7500 0.7500 0.7500
K1 K 0.2500 0.2500 0.2500
In1 In 0.5000 0.5000 0.5000
```

Calculated values
space group: No. 216
E_form: -0.024 eV per atom
total magnetization: 0.000 μB per formula unit

=====

# 9
Below is a relaxed SrYCI2 crystal, with properties calculated at the GGA-PBEsol level.

```
data_SrYCI2
_cell_length_a 5.9720
_cell_length_b 5.9720
_cell_length_c 7.4784
_cell_angle_alpha 90.00
_cell_angle_beta 90.00
_cell_angle_gamma 90.00
_space_group_name_H-M_alt 'P 1'
_space_group_IT_number 1
loop_
_space_group_symop_operation_xyz
'x,y,z'
loop_
_atom_site_label
_atom_site_type_symbol
_atom_site_fract_x
_atom_site_fract_y
_atom_site_fract_z
I1 I 0.0000 0.5000 0.0000
I2 I 0.5000 0.0000 0.0000
Y1 Y 0.0000 0.0000 0.5000
C1 C 0.5000 0.5000 0.5000
Sr1 Sr 0.0000 0.0000 0.0000
```

Calculated values
space group: No. 123
energy relative to the elements, uncorrected: 650 kJ/mol of formula units
total magnetization: 3.067 μB per formula unit

=====

# 10
Below is a relaxed Ba3NdB9O18 crystal, with properties calculated at the GGA-PBEsol level.

```
data_Ba3NdB9O18
_cell_length_a 7.2335
_cell_length_b 7.2335
_cell_length_c 17.0860
_cell_angle_alpha 90.00
_cell_angle_beta 90.00
_cell_angle_gamma 120.00
_space_group_name_H-M_alt 'P 1'
_space_group_IT_number 1
loop_
_space_group_symop_operation_xyz
'x,y,z'
loop_
_atom_site_label
_atom_site_type_symbol
_atom_site_fract_x
_atom_site_fract_y
_atom_site_fract_z
Ba1 Ba 0.6667 0.3333 0.6325
Ba2 Ba 0.3333 0.6667 0.3675
Ba3 Ba 0.3333 0.6667 0.1325
Ba4 Ba 0.6667 0.3333 0.8675
Ba5 Ba 0.0000 0.0000 0.7500
Ba6 Ba 0.0000 0.0000 0.2500
Nd1 Nd 0.0000 0.0000 0.5000
Nd2 Nd 0.0000 0.0000 0.0000
B1 B 0.1610 0.4513 0.5861
B2 B 0.8390 0.5487 0.4139
B3 B 0.5487 0.7097 0.5861
B4 B 0.8390 0.5487 0.0861
B5 B 0.4513 0.2903 0.4139
B6 B 0.1610 0.4513 0.9139
B7 B 0.2903 0.8390 0.5861
B8 B 0.4513 0.2903 0.0861
B9 B 0.7097 0.1610 0.4139
B10 B 0.5487 0.7097 0.9139
B11 B 0.7097 0.1610 0.0861
B12 B 0.2903 0.8390 0.9139
B13 B 0.3782 0.4947 0.7500
B14 B 0.6218 0.5053 0.2500
B15 B 0.5053 0.8835 0.7500
B16 B 0.4947 0.1165 0.2500
B17 B 0.1165 0.6218 0.7500
B18 B 0.8835 0.3782 0.2500
O1 O 0.1668 0.4575 0.7500
O2 O 0.8332 0.5425 0.2500
O3 O 0.5425 0.7093 0.7500
O4 O 0.4575 0.2907 0.2500
O5 O 0.2907 0.8332 0.7500
O6 O 0.7093 0.1668 0.2500
O7 O 0.6688 0.0820 0.7500
O8 O 0.3312 0.9180 0.2500
O9 O 0.9180 0.5868 0.7500
O10 O 0.0820 0.4132 0.2500
O11 O 0.4132 0.3312 0.7500
O12 O 0.5868 0.6688 0.2500
O13 O 0.9968 0.2523 0.5866
O14 O 0.0032 0.7477 0.4134
O15 O 0.7477 0.7444 0.5866
O16 O 0.0032 0.7477 0.0866
O17 O 0.2523 0.2556 0.4134
O18 O 0.9968 0.2523 0.9134
O19 O 0.2556 0.0032 0.5866
O20 O 0.2523 0.2556 0.0866
O21 O 0.7444 0.9968 0.4134
O22 O 0.7477 0.7444 0.9134
O23 O 0.7444 0.9968 0.0866
O24 O 0.2556 0.0032 0.9134
O25 O 0.3748 0.4993 0.5848
O26 O 0.6252 0.5007 0.4152
O27 O 0.5007 0.8755 0.5848
O28 O 0.6252 0.5007 0.0848
O29 O 0.4993 0.1245 0.4152
O30 O 0.3748 0.4993 0.9152
O31 O 0.1245 0.6252 0.5848
O32 O 0.4993 0.1245 0.0848
O33 O 0.8755 0.3748 0.4152
O34 O 0.5007 0.8755 0.9152
O35 O 0.8755 0.3748 0.0848
O36 O 0.1245 0.6252 0.9152
```

Calculated values
space group: No. 176
energy relative to the elements, uncorrected: -8109 kJ/mol of formula units
total magnetization: 0.000 μB per formula unit